The following is a DFT calculation (PBE-GGA) of a relaxed structure of NaNiCl4.

Cell lengths 6.635, 3.595, 6.810 Å; angles 90.00, 110.07, 90.00 degrees
Space group P2/m (No. 10)
Asymmetric unit:
Na (0.000, 0.000, 0.000) (multiplicity 1)
Ni (0.000, 0.500, 0.500) (multiplicity 1)
Cl (0.208, 0.000, 0.435) (multiplicity 2)
Cl (0.213, 0.500, 0.832) (multiplicity 2)

Raw total energy = -0.1205 hartree per atom
ΔE to the lowest computed polymorph = 0.010 eV/atom



The following is a DFT calculation (PBE-GGA) of a relaxed structure of KScPb2.

Cell lengths 9.869, 3.550, 7.679 Å; angles 90.00, 98.22, 90.00 degrees
Space group C2/m (No. 12)
Asymmetric unit:
K (0.000, 0.000, 0.000) (multiplicity 2)
Sc (0.000, 0.500, 0.500) (multiplicity 2)
Pb (0.242, 0.000, 0.683) (multiplicity 4)

ΔE_f = -0.7 eV per formula unit
Raw total energy = -0.1425 hartree per atom
ΔE to the lowest computed polymorph = 0.119 eV/atom



The following is a DFT calculation (PBE-GGA) of a relaxed structure of TaTc2Os.

Cell lengths 2.757, 4.255, 5.436 Å; angles 90.00, 104.15, 90.00 degrees
Space group Pm (No. 6)
Asymmetric unit:
Ta (0.000, 0.000, 0.000) (multiplicity 1)
Tc (0.412, 0.500, 0.255) (multiplicity 1)
Tc (0.975, 0.000, 0.498) (multiplicity 1)
Os (0.575, 0.500, 0.750) (multiplicity 1)

ΔE_f = 0.1 eV per formula unit
Raw total energy = -0.4018 hartree per atom
ΔE to the lowest computed polymorph = 0.066 eV/atom



The following is a DFT calculation (PBE-GGA) of a relaxed structure of ErMnCoP2.

Cell lengths 3.824, 3.824, 9.465 Å; angles 90.00, 90.00, 90.00 degrees
Space group I-4m2 (No. 119)
Asymmetric unit:
Er (0.000, 0.000, 0.000) (multiplicity 2)
Mn (0.000, 0.500, 0.750) (multiplicity 2)
Co (0.000, 0.500, 0.250) (multiplicity 2)
P (0.000, 0.000, 0.370) (multiplicity 4)

ΔE_f = -5.0 eV per formula unit
Raw total energy = -0.2694 hartree per atom